(1)
Compound: Ho3Cd3Pd2
Source: the Alexandria database
Functional: PBE
Structure: optimized geometry

Lattice parameters (Å, degrees): 7.5831 7.5831 3.7081 90.00 90.00 120.00
Last column: nearest neighbours and their distance in Å.
Atoms (fractional coordinates):
1 Ho 0.0000 0.5819 0.0000  4 Pd 2.94, 2 Cd 3.25
2 Ho 0.4181 0.4181 0.0000  4 Pd 2.94, 2 Cd 3.25
3 Ho 0.5819 0.0000 0.0000  4 Pd 2.94, 2 Cd 3.25
4 Cd 0.0000 0.2293 0.5000  2 Pd 3.00, 2 Cd 3.01, 6 Ho 3.25-3.32
5 Cd 0.2293 0.0000 0.5000  2 Pd 3.00, 2 Cd 3.01, 6 Ho 3.25-3.32
6 Cd 0.7707 0.7707 0.5000  2 Pd 3.00, 2 Cd 3.01, 6 Ho 3.25-3.32
7 Pd 0.3333 0.6667 0.5000  6 Ho 2.94, 3 Cd 3.00
8 Pd 0.6667 0.3333 0.5000  6 Ho 2.94, 3 Cd 3.00

Energy of formation: -61 kJ per mole of atoms
N(E_F): 4.48 states/eV/cell

(2)
Compound: RbSe2BrN
Source: the Alexandria database
Functional: PBE
Structure: optimized geometry

Lattice parameters (Å, degrees): 4.3323 4.3323 8.7523 90.00 90.00 90.00
Last column: nearest neighbours and their distance in Å.
Atoms (fractional coordinates):
1 Rb 0.0000 0.0000 0.0000  4 Br 3.06
2 Se 0.0000 0.5000 0.5000  2 N 2.17
3 Se 0.5000 0.0000 0.5000  2 N 2.17
4 Br 0.5000 0.5000 0.0000  4 Rb 3.06
5 N 0.5000 0.5000 0.5000  4 Se 2.17

Formation energy (no corrections): 1.21 eV/f.u.
N(E_F): 3.56 states/eV/cell
Energy above the lowest structure with this stoichiometry: 0 meV/atom

(3)
Compound: AgPWS2
Source: the Alexandria database
Functional: PBE
Structure: optimized geometry

Lattice parameters (Å, degrees): 4.7117 4.7117 4.7066 90.00 90.00 90.00
Last column: nearest neighbours and their distance in Å.
Atoms (fractional coordinates):
1 Ag 0.0000 0.0000 0.0000  2 P 2.35, 4 S 2.36
2 P 0.0000 0.0000 0.5000  2 Ag 2.35
3 W 0.5000 0.5000 0.5000  8 S 3.33, 4 P 3.33
4 S 0.0000 0.5000 0.0000  2 Ag 2.36
5 S 0.5000 0.0000 0.0000  2 Ag 2.36

Formation energy (no corrections): 8.16 eV/f.u.
N(E_F): 2.18 states/eV/cell
Energy above the lowest structure with this stoichiometry: 1280 meV/atom

(4)
Compound: Pu2ThPt9
Source: the Alexandria database
Functional: PBE
Structure: optimized geometry

Lattice parameters (Å, degrees): 9.4649 9.4649 9.4649 33.25 33.25 33.25
Last column: nearest neighbours and their distance in Å.
Atoms (fractional coordinates):
1 Pu 0.1431 0.1431 0.1431  12 Pt 3.12-3.22, 3 Pu 3.37
2 Pu 0.8569 0.8569 0.8569  12 Pt 3.12-3.22, 3 Pu 3.37
3 Th 0.0000 0.0000 0.0000  6 Pt 3.13
4 Pt 0.0820 0.5866 0.5866  7 Pt 2.68-2.78
5 Pt 0.3329 0.3329 0.3329  6 Pt 2.75-2.78
6 Pt 0.4134 0.4134 0.9180  7 Pt 2.68-2.78
7 Pt 0.4134 0.9180 0.4134  7 Pt 2.68-2.78
8 Pt 0.5000 0.5000 0.5000  6 Pt 2.70
9 Pt 0.5866 0.0820 0.5866  7 Pt 2.68-2.78
10 Pt 0.5866 0.5866 0.0820  7 Pt 2.68-2.78
11 Pt 0.6671 0.6671 0.6671  6 Pt 2.75-2.78
12 Pt 0.9180 0.4134 0.4134  7 Pt 2.68-2.78

Energy of formation: -80 kJ per mole of atoms
N(E_F): 26.27 states/eV/cell

(5)
Compound: K5Ru3
Source: the Alexandria database
Functional: PBE
Structure: optimized geometry

Lattice parameters (Å, degrees): 11.1306 11.1306 4.8722 90.00 90.00 120.00
Last column: nearest neighbours and their distance in Å.
Atoms (fractional coordinates):
1 K 0.0000 0.2587 0.2500  3 Ru 3.11-3.32
2 K 0.0000 0.7413 0.7500  3 Ru 3.11-3.32
3 K 0.2587 0.0000 0.2500  3 Ru 3.11-3.32
4 K 0.2587 0.2587 0.7500  3 Ru 3.11-3.32
5 K 0.3333 0.6667 0.0000  2 K 2.44
6 K 0.3333 0.6667 0.5000  2 K 2.44
7 K 0.6667 0.3333 0.0000  2 K 2.44
8 K 0.6667 0.3333 0.5000  2 K 2.44
9 K 0.7413 0.0000 0.7500  3 Ru 3.11-3.32
10 K 0.7413 0.7413 0.2500  3 Ru 3.11-3.32
11 Ru 0.0000 0.4615 0.7500  2 Ru 2.58
12 Ru 0.0000 0.5385 0.2500  2 Ru 2.58
13 Ru 0.4615 0.0000 0.7500  2 Ru 2.58
14 Ru 0.4615 0.4615 0.2500  2 Ru 2.58
15 Ru 0.5385 0.0000 0.2500  2 Ru 2.58
16 Ru 0.5385 0.5385 0.7500  2 Ru 2.58

Energy of formation: 111 kJ per mole of atoms
N(E_F): 20.93 states/eV/cell
Energy above the lowest structure with this stoichiometry: 283 meV/atom

(6)
Compound: Mg3Ga4Hg
Source: the Alexandria database
Functional: PBE
Structure: optimized geometry

Lattice parameters (Å, degrees): 3.1775 4.6033 11.3606 96.68 97.57 90.15
Last column: nearest neighbours and their distance in Å.
Atoms (fractional coordinates):
1 Mg 0.0000 0.0000 0.0000  4 Hg 2.79-2.80, 4 Ga 2.90-2.91
2 Mg 0.1333 0.6761 0.2862  5 Ga 2.90-2.94, 2 Mg 3.18
3 Mg 0.8667 0.3239 0.7138  5 Ga 2.90-2.94, 2 Mg 3.18
4 Ga 0.2943 0.7593 0.5487  3 Ga 2.65-2.96, 1 Mg 2.94
5 Ga 0.4002 0.8466 0.7857  1 Ga 2.65, 6 Mg 2.90-2.92
6 Ga 0.5998 0.1534 0.2143  1 Ga 2.65, 6 Mg 2.90-2.92
7 Ga 0.7057 0.2407 0.4513  3 Ga 2.65-2.96, 1 Mg 2.94
8 Hg 0.5000 0.5000 0.0000  4 Mg 2.79-2.80, 2 Ga 3.05

Energy of formation: -7 kJ per mole of atoms
N(E_F): 2.56 states/eV/cell